# 1
Here is a relaxed Tm4InAg2Hg crystal from the Alexandria database. Energies are from PBE-GGA.

## Properties
spin magnetization = 0.00 μB per cell
SG = R-3m, No. 166
electronic total energy = -3.734 eV per atom
DFT formation energy = -406 meV/atom

Unit cell a=8.9293 b=8.9293 c=8.9293 alpha=33.56 beta=33.56 gamma=33.56
Positions (direct):
Tm1 0.1229 0.1229 0.1229
Tm2 0.3731 0.3731 0.3731
Tm3 0.6269 0.6269 0.6269
Tm4 0.8771 0.8771 0.8771
In1 0.5000 0.5000 0.5000
Ag1 0.2476 0.2476 0.2476
Ag2 0.7524 0.7524 0.7524
Hg1 0.0000 0.0000 0.0000


# 2
Here is a relaxed UInAgHg crystal from the Alexandria database. Energies are from PBE-GGA.

## Properties
spin magnetization = 2.82 μB per cell
SG = F-43m, No. 216
electronic total energy = -4.123 eV per atom
DFT formation energy = 172 meV/atom

Unit cell a=5.0879 b=5.0879 c=5.0879 alpha=60.00 beta=60.00 gamma=60.00
Positions (direct):
U1 0.0000 0.0000 0.0000
In1 0.5000 0.5000 0.5000
Ag1 0.2500 0.2500 0.2500
Hg1 0.7500 0.7500 0.7500


# 3
Here is a relaxed YInAgHg crystal from the Alexandria database. Energies are from PBE-GGA.

## Properties
spin magnetization = 0.00 μB per cell
SG = F-43m, No. 216
electronic total energy = -3.437 eV per atom
DFT formation energy = -348 meV/atom

Unit cell a=5.0567 b=5.0567 c=5.0567 alpha=60.00 beta=60.00 gamma=60.00
Positions (direct):
Y1 0.0000 0.0000 0.0000
In1 0.5000 0.5000 0.5000
Ag1 0.2500 0.2500 0.2500
Hg1 0.7500 0.7500 0.7500


# 4
Here is a relaxed ZnInAgHg crystal from the Alexandria database. Energies are from PBE-GGA.

## Properties
spin magnetization = 0.00 μB per cell
SG = F-43m, No. 216
electronic total energy = -1.660 eV per atom
DFT formation energy = 131 meV/atom

Unit cell a=4.9164 b=4.9164 c=4.9164 alpha=60.00 beta=60.00 gamma=60.00
Positions (direct):
Zn1 0.0000 0.0000 0.0000
In1 0.7500 0.7500 0.7500
Ag1 0.5000 0.5000 0.5000
Hg1 0.2500 0.2500 0.2500


# 5
Here is a relaxed ZrInAgHg crystal from the Alexandria database. Energies are from PBE-GGA.

## Properties
spin magnetization = 0.00 μB per cell
SG = F-43m, No. 216
electronic total energy = -3.612 eV per atom
DFT formation energy = -2 meV/atom

Unit cell a=4.9263 b=4.9263 c=4.9263 alpha=60.00 beta=60.00 gamma=60.00
Positions (direct):
Zr1 0.0000 0.0000 0.0000
In1 0.5000 0.5000 0.5000
Ag1 0.2500 0.2500 0.2500
Hg1 0.7500 0.7500 0.7500


# 6
Here is a relaxed ZrInAgHg crystal from the Alexandria database. Energies are from PBE-GGA.

## Properties
spin magnetization = 0.00 μB per cell
SG = Pmmm, No. 47
electronic total energy = -3.742 eV per atom
DFT formation energy = -132 meV/atom

Unit cell a=4.1420 b=4.4875 c=4.5553 alpha=90.00 beta=90.00 gamma=90.00
Positions (direct):
Zr1 0.0000 0.0000 0.0000
In1 0.5000 0.5000 0.0000
Ag1 0.0000 0.5000 0.5000
Hg1 0.5000 0.0000 0.5000